{"formula": "Sr2ZnCl", "functional": "GGA-PBE", "state": "relaxed", "n_ef_per_ev_fu": 3.144, "e_form_raw_kj_per_mol_atoms": -81.2, "total_magnetization_mub_per_cell": 0.0, "dft_energy_ev_per_atom": -2.4627, "lattice": [[3.788, 0.000, 0.000], [0.000, 3.788, 0.000], [0.000, 0.000, 8.404]], "species": ["Sr", "Sr", "Zn", "Cl"], "frac_coords": [[0.000, 0.000, 0.233], [0.000, 0.000, 0.767], [0.500, 0.500, 0.000], [0.500, 0.500, 0.500]]}